Record 1
Here is a crystal of Li4Cr3Ni2Sb3O16 relaxed with PBEsol from Alexandria. Energies are from SCAN.

Cell lengths 10.3575, 6.0163, 9.5309 Å; angles 90.00, 91.25, 90.00 degrees
With the nearest neighbours (Å) after each atom.
Space group Cm (No. 8)
Asymmetric unit:
Li1 0.0000 0.0000 0.0000 x2  3 O 1.74-1.90
Li2 0.0231 0.0000 0.5191 x2  4 O 1.78-1.96
Li3 0.2060 0.5000 0.8813 x2  3 O 1.93-1.97
Li4 0.3715 0.0000 0.4136 x2  4 O 1.95-2.01
Cr1 0.3700 0.5000 0.2323 x2  6 O 1.96-2.01
Cr2 0.4569 0.2464 0.7279 x4  6 O 1.96-2.02
Ni1 0.2109 0.5000 0.5118 x2  6 O 2.00-2.19
Ni2 0.3821 0.0000 0.9912 x2  6 O 2.05-2.26
Sb1 0.1236 0.2523 0.2268 x4  6 O 1.99-2.05
Sb2 0.2109 0.0000 0.7267 x2  6 O 2.01-2.03
O1 0.0225 0.5000 0.8437 x2  1 Li 1.93, 2 Cr 1.96, 1 Ni 2.05
O2 0.0371 0.0000 0.3336 x2  1 Li 1.78, 1 Cr 1.96
O3 0.0412 0.0000 0.8241 x2  1 Li 1.74
O4 0.0555 0.5000 0.3516 x2  1 Li 2.01, 2 Sb 2.04, 1 Ni 2.19
O5 0.1186 0.2395 0.6139 x4  1 Li 1.96, 1 Cr 2.02, 1 Sb 2.03, 1 Ni 2.09
O6 0.1958 0.0000 0.1109 x2  2 Sb 2.03, 1 Ni 2.26, 1 Li 2.27
O7 0.2086 0.5000 0.1137 x2  1 Cr 2.00, 2 Sb 2.05, 1 Li 2.21
O8 0.2815 0.2774 0.3490 x4  1 Cr 1.98, 1 Sb 1.99, 1 Li 2.00, 1 Ni 2.19
O9 0.3031 0.2233 0.8510 x4  1 Li 1.97, 1 Cr 2.00, 1 Sb 2.02, 1 Ni 2.05
O10 0.3752 0.0000 0.6177 x2  1 Li 1.95, 2 Cr 1.99, 1 Sb 2.01
O11 0.3757 0.5000 0.6245 x2  1 Li 1.85, 2 Cr 1.99, 1 Ni 2.00
O12 0.4556 0.2611 0.1199 x4  1 Li 1.90, 1 Sb 2.00, 1 Cr 2.01, 1 Ni 2.12

The total energy comes out at -12.951 eV per atom. The crystal system is monoclinic. For the size of the total moment, the calculation gives 0.458 μB per atom. The calculation puts the uncorrected formation energy at -1.93 eV per atom.



Record 2
Here is a crystal of K2NaGaF6 relaxed with PBEsol from Alexandria. Energies are from SCAN.

Cell lengths 8.2457, 8.2457, 8.2457 Å; angles 90.00, 90.00, 90.00 degrees
With the nearest neighbours (Å) after each atom.
Space group Fm-3m (No. 225)
Asymmetric unit:
K1 0.2500 0.2500 0.2500 x8  12 F 2.92
Na1 0.0000 0.0000 0.0000 x4  6 F 2.22
Ga1 0.0000 0.0000 0.5000 x4  6 F 1.90
F1 0.0000 0.0000 0.2692 x24  1 Ga 1.90

The total energy comes out at -8.883 eV per atom. The crystal system is cubic. For the size of the total moment, the calculation gives 0.000 μB per atom. The calculation puts the uncorrected formation energy at -3.04 eV per atom.



Record 3
Here is a crystal of Sr2CdBiC relaxed with PBEsol from Alexandria. Energies are from SCAN.

Cell lengths 6.2728, 6.2728, 5.4812 Å; angles 90.00, 90.00, 90.00 degrees
With the nearest neighbours (Å) after each atom.
Space group P4/mmm (No. 123)
Asymmetric unit:
Sr1 0.0000 0.5000 0.0000 x2  2 Bi 3.14
Cd1 0.0000 0.0000 0.5000 x1  2 Bi 2.74
Bi1 0.0000 0.0000 0.0000 x1  2 Cd 2.74
C1 0.5000 0.5000 0.5000 x1  8 Sr 4.17, 4 Cd 4.44

The total energy comes out at -31.688 eV per atom. The formation energy comes out at 1.041 eV per atom. The crystal system is tetragonal. For the size of the total moment, the calculation gives 0.359 μB per atom.



Record 4
Here is a crystal of SrCdO2 relaxed with PBEsol from Alexandria. Energies are from SCAN.

Cell lengths 5.2326, 5.2326, 10.8150 Å; angles 90.00, 90.00, 90.00 degrees
With the nearest neighbours (Å) after each atom.
Space group I-42d (No. 122)
Asymmetric unit:
Sr1 0.0000 0.0000 0.0000 x4  4 O 2.38
Cd1 0.0000 0.0000 0.5000 x4  4 O 2.21
O1 0.2219 0.2500 0.6250 x8  2 Cd 2.21, 2 Sr 2.38

The total energy comes out at -18.271 eV per atom. The crystal system is tetragonal. For the size of the total moment, the calculation gives 0.000 μB per atom. The calculation puts the uncorrected formation energy at -1.98 eV per atom.



Record 5
Here is a crystal of CaNbSe2 relaxed with PBEsol from Alexandria. Energies are from SCAN.

Cell lengths 5.9175, 5.9175, 13.1227 Å; angles 90.00, 90.00, 90.00 degrees
With the nearest neighbours (Å) after each atom.
Space group I-42d (No. 122)
Asymmetric unit:
Ca1 0.0000 0.0000 0.0000 x4  4 Se 2.82
Nb1 0.0000 0.0000 0.5000 x4  4 Se 2.52
Se1 0.2047 0.2500 0.6250 x8  2 Nb 2.52, 2 Ca 2.82

The total energy comes out at -21.622 eV per atom. The crystal system is tetragonal. For the size of the total moment, the calculation gives 0.643 μB per atom. The calculation puts the uncorrected formation energy at -0.88 eV per atom. For the offset from the most stable computed form, the calculation gives 0.0282 eV per atom.



Record 6
Here is a crystal of Y3CoB relaxed with PBEsol from Alexandria. Energies are from SCAN.

Cell lengths 4.8866, 4.8866, 4.8866 Å; angles 90.00, 90.00, 90.00 degrees
With the nearest neighbours (Å) after each atom.
Space group Pm-3m (No. 221)
Asymmetric unit:
Y1 0.0000 0.0000 0.5000 x3  2 B 2.44
Co1 0.5000 0.5000 0.5000 x1  12 Y 3.46
B1 0.0000 0.0000 0.0000 x1  6 Y 2.44

The total energy comes out at -21.448 eV per atom. The formation energy comes out at 0.205 eV per atom. The crystal system is cubic. For the size of the total moment, the calculation gives 0.100 μB per atom.